Nd3RuPb: optimized geometry, PBE.

Its crystal system is cubic. The value obtained for the calculated density is 7.63 g cm⁻³. The calculation puts the formation energy at -0.2171 eV/atom.

Geometry as CIF:
```
data_Nd3RuPb
_chemical_formula_sum 'Nd3 Ru1 Pb1'
_symmetry_space_group_name_H-M 'P m -3 m'
_symmetry_Int_Tables_number 221
_symmetry_space_group_name_Hall '-P 4 2 3'
_cell_length_a 5.442
_cell_length_b 5.442
_cell_length_c 5.442
_cell_angle_alpha 90.00
_cell_angle_beta 90.00
_cell_angle_gamma 90.00
loop_
_atom_site_label
_atom_site_fract_x
_atom_site_fract_y
_atom_site_fract_z
Nd1 0.000 0.000 0.500
Ru1 0.000 0.000 0.000
Pb1 0.500 0.500 0.500
```

NdRuPb: optimized geometry, PBE.

Its crystal system is orthorhombic. The value obtained for the calculated density is 10.14 g cm⁻³. The calculation puts the formation energy at -0.0335 eV/atom.

Geometry as CIF:
```
data_NdRuPb
_chemical_formula_sum 'Nd8 Ru8 Pb8'
_symmetry_space_group_name_H-M 'C m c e'
_symmetry_Int_Tables_number 64
_symmetry_space_group_name_Hall '-C 2ac 2'
_cell_length_a 6.430
_cell_length_b 12.046
_cell_length_c 7.657
_cell_angle_alpha 90.00
_cell_angle_beta 90.00
_cell_angle_gamma 90.00
loop_
_atom_site_label
_atom_site_fract_x
_atom_site_fract_y
_atom_site_fract_z
Nd1 0.000 0.190 0.106
Ru1 0.000 0.103 0.443
Pb1 0.250 0.059 0.750
```

Nd3RuPb: optimized geometry, PBE.

Its crystal system is monoclinic. The value obtained for the calculated density is 8.41 g cm⁻³. The calculation puts the formation energy at -0.3414 eV/atom.

Geometry as CIF:
```
data_Nd3RuPb
_chemical_formula_sum 'Nd12 Ru4 Pb4'
_symmetry_space_group_name_H-M 'C 1 2/m 1'
_symmetry_Int_Tables_number 12
_symmetry_space_group_name_Hall '-C 2y'
_cell_length_a 12.058
_cell_length_b 4.693
_cell_length_c 10.448
_cell_angle_alpha 90.00
_cell_angle_beta 98.22
_cell_angle_gamma 90.00
loop_
_atom_site_label
_atom_site_fract_x
_atom_site_fract_y
_atom_site_fract_z
Nd1 0.103 0.000 0.389
Nd2 0.122 0.500 0.669
Nd3 0.146 0.500 0.115
Ru1 0.235 0.500 0.385
Pb1 0.079 0.000 0.888
```